The following is a GGA-PBE calculation of HfCu6Ge after structural relaxation, from OQMD.

abc: 4.3615 5.4168 4.6491
angles: 90.00 90.00 90.00
Atoms (fractional coordinates):
Cu 0.0000 0.2627 0.1596
Cu 0.0000 0.7373 0.1596
Cu 0.5000 0.0000 0.2997
Cu 0.0000 0.5000 0.6732
Cu 0.5000 0.2584 0.8433
Cu 0.5000 0.7416 0.8433
Ge 0.5000 0.5000 0.3600
Hf 0.0000 0.0000 0.6612

Values from the calculation:
Calculated total energy   -4.60 eV per atom
SG   No. 25


The following is a GGA-PBE calculation of Hf2Cu2Ge3 after structural relaxation, from OQMD.

abc: 8.7522 8.7522 8.7522
angles: 27.43 27.43 27.43
Atoms (fractional coordinates):
Cu 0.0024 0.0024 0.0024
Cu 0.4997 0.4997 0.4997
Ge 0.3816 0.3816 0.3816
Ge 0.6339 0.6339 0.6339
Ge 0.8569 0.8569 0.8569
Hf 0.2463 0.2463 0.2463
Hf 0.7541 0.7541 0.7541

Values from the calculation:
Calculated total energy   -5.95 eV per atom
SG   No. 160


The following is a GGA-PBE calculation of Hf3Cu4Ge4 after structural relaxation, from OQMD.

abc: 6.3634 4.0592 7.2949
angles: 90.00 89.95 90.00
Atoms (fractional coordinates):
Cu 0.6750 0.2500 0.0705
Cu 0.1773 0.2500 0.4287
Cu 0.8310 0.7500 0.5786
Cu 0.3209 0.7500 0.9224
Ge 0.2618 0.2500 0.0913
Ge 0.7693 0.2500 0.3980
Ge 0.2292 0.7500 0.5978
Ge 0.7438 0.7500 0.8981
Hf 0.9900 0.7500 0.2107
Hf 0.4907 0.7500 0.2917
Hf 0.5091 0.2500 0.7095

Values from the calculation:
Calculated total energy   -6.06 eV per atom
SG   No. 6


The following is a GGA-PBE calculation of Hf3CuGe5 after structural relaxation, from OQMD.

abc: 5.6545 5.6545 6.9085
angles: 90.00 90.00 120.00
Atoms (fractional coordinates):
Cu 0.0000 0.0000 0.0000
Ge 0.6667 0.3333 0.1719
Ge 0.3333 0.6667 0.1719
Ge 0.0000 0.0000 0.5000
Ge 0.6667 0.3333 0.8281
Ge 0.3333 0.6667 0.8281
Hf 0.5000 0.0000 0.5000
Hf 0.0000 0.5000 0.5000
Hf 0.5000 0.5000 0.5000

Values from the calculation:
Calculated total energy   -6.03 eV per atom
SG   No. 191


The following is a GGA-PBE calculation of Hf3Cu4Ge4 after structural relaxation, from OQMD.

abc: 5.7820 5.7820 7.1242
angles: 66.06 66.06 90.00
Atoms (fractional coordinates):
Cu 0.6905 0.0982 0.2114
Cu 0.0982 0.6905 0.2114
Cu 0.3095 0.3095 0.7886
Cu 0.9018 0.9018 0.7886
Ge 0.5000 0.0000 0.0000
Ge 0.0000 0.5000 0.0000
Ge 0.2591 0.2591 0.4817
Ge 0.7409 0.7409 0.5183
Hf 0.5000 0.5000 0.0000
Hf 0.7500 0.2500 0.5000
Hf 0.2500 0.7500 0.5000

Values from the calculation:
Calculated total energy   -6.00 eV per atom
SG   No. 121


The following is a GGA-PBE calculation of HfCuHgGe after structural relaxation, from OQMD.

abc: 4.6904 4.6904 4.6904
angles: 60.00 60.00 60.00
Atoms (fractional coordinates):
Cu 0.7500 0.7500 0.7500
Ge 0.0000 0.0000 0.0000
Hf 0.2500 0.2500 0.2500
Hg 0.5000 0.5000 0.5000

Values from the calculation:
Distance to the lowest polymorph of the same formula   0.000 eV per atom
Calculated total energy   -4.54 eV per atom
SG   No. 216


The following is a GGA-PBE calculation of HfCuHgGe after structural relaxation, from OQMD.

abc: 4.7393 4.7393 4.7393
angles: 60.00 60.00 60.00
Atoms (fractional coordinates):
Cu 0.7500 0.7500 0.7500
Ge 0.0000 0.0000 0.0000
Hf 0.5000 0.5000 0.5000
Hg 0.2500 0.2500 0.2500

Values from the calculation:
Distance to the lowest polymorph of the same formula   0.153 eV per atom
Calculated total energy   -4.39 eV per atom
SG   No. 216


The following is a GGA-PBE calculation of LiHfCuGe after structural relaxation, from OQMD.

abc: 4.4346 4.4346 4.4346
angles: 60.00 60.00 60.00
Atoms (fractional coordinates):
Cu 0.7500 0.7500 0.7500
Ge 0.0000 0.0000 0.0000
Hf 0.2500 0.2500 0.2500
Li 0.5000 0.5000 0.5000

Values from the calculation:
Distance to the lowest polymorph of the same formula   0.000 eV per atom
Calculated total energy   -5.09 eV per atom
SG   No. 216


The following is a GGA-PBE calculation of LiHfCuGe after structural relaxation, from OQMD.

abc: 4.3868 4.3868 4.3868
angles: 60.00 60.00 60.00
Atoms (fractional coordinates):
Cu 0.7500 0.7500 0.7500
Ge 0.0000 0.0000 0.0000
Hf 0.5000 0.5000 0.5000
Li 0.2500 0.2500 0.2500

Values from the calculation:
Distance to the lowest polymorph of the same formula   0.010 eV per atom
Calculated total energy   -5.08 eV per atom
SG   No. 216


The following is a GGA-PBE calculation of HfMgCuGe after structural relaxation, from OQMD.

abc: 4.6531 4.6531 4.6531
angles: 60.00 60.00 60.00
Atoms (fractional coordinates):
Cu 0.7500 0.7500 0.7500
Ge 0.0000 0.0000 0.0000
Hf 0.5000 0.5000 0.5000
Mg 0.2500 0.2500 0.2500

Values from the calculation:
Distance to the lowest polymorph of the same formula   0.095 eV per atom
Calculated total energy   -4.72 eV per atom
SG   No. 216


The following is a GGA-PBE calculation of HfMgCuGe after structural relaxation, from OQMD.

abc: 4.6159 4.6159 4.6159
angles: 60.00 60.00 60.00
Atoms (fractional coordinates):
Cu 0.7500 0.7500 0.7500
Ge 0.0000 0.0000 0.0000
Hf 0.2500 0.2500 0.2500
Mg 0.5000 0.5000 0.5000

Values from the calculation:
Distance to the lowest polymorph of the same formula   0.000 eV per atom
Calculated total energy   -4.82 eV per atom
SG   No. 216


The following is a GGA-PBE calculation of HfCuGeMo after structural relaxation, from OQMD.

abc: 4.4963 4.4963 4.4963
angles: 60.00 60.00 60.00
Atoms (fractional coordinates):
Cu 0.7500 0.7500 0.7500
Ge 0.0000 0.0000 0.0000
Hf 0.5000 0.5000 0.5000
Mo 0.2500 0.2500 0.2500

Values from the calculation:
Distance to the lowest polymorph of the same formula   0.000 eV per atom
Calculated total energy   -7.15 eV per atom
SG   No. 216